First-principles (GGA+U) data for a relaxed structure of LiTlCoF4, as listed in Alexandria.

Lattice parameters (Å, degrees): 5.390 5.461 8.616 90.00 122.54 90.00
Site moments in Bohr magnetons follow the coordinates.
Positions (direct):
Li (0.814, 0.250, 0.664)  0.00
F (0.612, 0.250, 0.784)  0.03
Tl (0.591, 0.750, 0.880)  0.00
F (0.535, 0.750, 0.571)  0.03
F (0.932, 0.504, 0.334)  0.05
F (0.068, 0.496, 0.666)  0.05
F (0.465, 0.250, 0.429)  0.03
Co (0.788, 0.750, 0.461)  2.78
F (0.932, 0.996, 0.334)  0.05
Co (0.212, 0.250, 0.539)  2.78
F (0.388, 0.750, 0.216)  0.03
Tl (0.409, 0.250, 0.120)  0.00
Li (0.186, 0.750, 0.336)  0.00
F (0.068, 0.004, 0.666)  0.05

Results
magnetization	6.0	Bohr magnetons per cell
uncorrected energy	-4.625	eV per atom